The following is a GGA-PBE calculation of a relaxed ThTlBr5 crystal, from Alexandria.

Calculated values
Magnetic moment   0.00 μB/atom
Calculated volume   339.5 Å³/cell
Uncorrected energy   -4.0493 eV/atom
E_form (uncorrected)   -1.46 eV/atom
Symmetry   Immm, No. 71

a b c (Å): 5.8424 8.2714 8.2714
angles (deg): 70.34 69.32 69.32
Last column: nearest neighbours and their distance in Å.
Sites, in units of the cell vectors:
Th: 0.5043 0.5000 0.5000  6 Br 2.79-2.92
Br: 0.2763 0.7287 0.7287  1 Th 2.79
Br: 0.0045 0.5000 0.5000  2 Th 2.92
Br: 0.5040 0.2025 0.7975  1 Th 2.83
Br: 0.5040 0.7975 0.2025  1 Th 2.83
Br: 0.7338 0.2713 0.2713  1 Th 2.79
Tl: 0.0039 0.0000 0.0000  6 Br 3.31-3.50